# 1
# Rb2NbBI6 | the Alexandria database | PBE-GGA | relaxed
data_Rb2NbBI6
_cell_length_a 8.150
_cell_length_b 8.150
_cell_length_c 11.512
_cell_angle_alpha 90.00
_cell_angle_beta 90.00
_cell_angle_gamma 90.00
_symmetry_space_group_name_H-M 'I 4/m m m'
_symmetry_Int_Tables_number 139
_symmetry_space_group_name_Hall '-I 4 2'
loop_
_atom_site_label
_atom_site_fract_x
_atom_site_fract_y
_atom_site_fract_z
Rb1 0.000 0.500 0.250
Nb1 0.000 0.000 0.000
B1 0.000 0.000 0.500
I1 0.000 0.000 0.250
I2 0.250 0.250 0.000
# Calculated density in Mg/m³: 4.50
# Formation energy from raw total energies in eV/atom: -0.3658

---

# 2
# PuUPdPt | the Alexandria database | PBE-GGA | relaxed
data_PuUPdPt
_cell_length_a 6.686
_cell_length_b 6.686
_cell_length_c 6.686
_cell_angle_alpha 90.00
_cell_angle_beta 90.00
_cell_angle_gamma 90.00
_symmetry_space_group_name_H-M 'F -4 3 m'
_symmetry_Int_Tables_number 216
_symmetry_space_group_name_Hall 'F -4 2 3'
loop_
_atom_site_label
_atom_site_fract_x
_atom_site_fract_y
_atom_site_fract_z
Pu1 0.000 0.000 0.000
U1 0.250 0.250 0.250
Pd1 0.250 0.250 0.750
Pt1 0.000 0.000 0.500
# ΔE_f in eV/atom: -0.65
# Calculated density in Mg/m³: 17.42
# Polymorph energy (0 for the lowest one) in kJ per mole of atoms: 0.0

---

# 3
# CuReF3 | the Alexandria database | PBE-GGA | relaxed
data_CuReF3
_cell_length_a 4.162
_cell_length_b 4.162
_cell_length_c 4.162
_cell_angle_alpha 90.00
_cell_angle_beta 90.00
_cell_angle_gamma 90.00
_symmetry_space_group_name_H-M 'P m -3 m'
_symmetry_Int_Tables_number 221
_symmetry_space_group_name_Hall '-P 4 2 3'
loop_
_atom_site_label
_atom_site_fract_x
_atom_site_fract_y
_atom_site_fract_z
Cu1 0.000 0.000 0.000
Re1 0.500 0.500 0.500
F1 0.000 0.500 0.500
# Calculated density in Mg/m³: 7.07
# Formation energy from raw total energies in eV/atom: -0.4404
# Polymorph energy (0 for the lowest one) in kJ per mole of atoms: 0.0

---

# 4
# LiLu2Cu | the Alexandria database | PBE-GGA | relaxed
data_LiLu2Cu
_cell_length_a 6.940
_cell_length_b 6.940
_cell_length_c 6.940
_cell_angle_alpha 90.00
_cell_angle_beta 90.00
_cell_angle_gamma 90.00
_symmetry_space_group_name_H-M 'F m -3 m'
_symmetry_Int_Tables_number 225
_symmetry_space_group_name_Hall '-F 4 2 3'
loop_
_atom_site_label
_atom_site_fract_x
_atom_site_fract_y
_atom_site_fract_z
Li1 0.000 0.000 0.000
Lu1 0.250 0.250 0.250
Cu1 0.000 0.000 0.500
# ΔE_f in eV/atom: -0.06
# Calculated density in Mg/m³: 8.35
# Polymorph energy (0 for the lowest one) in kJ per mole of atoms: 2.0

---

# 5
# LiPr2AlAu6 | the Alexandria database | PBE-GGA | relaxed
data_LiPr2AlAu6
_cell_length_a 12.429
_cell_length_b 5.609
_cell_length_c 8.654
_cell_angle_alpha 90.00
_cell_angle_beta 132.44
_cell_angle_gamma 90.00
_symmetry_space_group_name_H-M 'C 1 2/m 1'
_symmetry_Int_Tables_number 12
loop_
_symmetry_equiv_pos_as_xyz
'x,y,z'
'-x,-y,-z'
'-x,y,-z'
'x,-y,z'
'x+1/2,y+1/2,z'
'-x+1/2,-y+1/2,-z'
'-x+1/2,y+1/2,-z'
'x+1/2,-y+1/2,z'
loop_
_atom_site_label
_atom_site_fract_x
_atom_site_fract_y
_atom_site_fract_z
Li1 0.000 0.000 0.000
Pr1 0.248 0.500 0.215
Al1 0.000 0.500 0.500
Au1 0.015 0.249 0.765
Au2 0.246 0.000 0.389
# ΔE_f in eV/atom: -0.53
# Calculated density in Mg/m³: 11.17

---

# 6
# YVS2N | the Alexandria database | PBE-GGA | relaxed
data_YVS2N
_cell_length_a 5.217
_cell_length_b 5.217
_cell_length_c 4.345
_cell_angle_alpha 90.00
_cell_angle_beta 90.00
_cell_angle_gamma 90.00
_symmetry_space_group_name_H-M 'P 4/m m m'
_symmetry_Int_Tables_number 123
_symmetry_space_group_name_Hall '-P 4 2'
loop_
_atom_site_label
_atom_site_fract_x
_atom_site_fract_y
_atom_site_fract_z
Y1 0.000 0.000 0.000
V1 0.500 0.500 0.500
S1 0.000 0.500 0.000
N1 0.000 0.000 0.500
# Calculated density in Mg/m³: 3.06
# Formation energy from raw total energies in eV/atom: 0.3263
# Polymorph energy (0 for the lowest one) in kJ per mole of atoms: 126.2

---

# 7
# Pm2Tl3BiTe6 | the Alexandria database | PBE-GGA | relaxed
data_Pm2Tl3BiTe6
_cell_length_a 7.896
_cell_length_b 13.688
_cell_length_c 8.541
_cell_angle_alpha 90.00
_cell_angle_beta 107.99
_cell_angle_gamma 90.00
_symmetry_space_group_name_H-M 'C 1 2/m 1'
_symmetry_Int_Tables_number 12
loop_
_symmetry_equiv_pos_as_xyz
'x,y,z'
'-x,-y,-z'
'-x,y,-z'
'x,-y,z'
'x+1/2,y+1/2,z'
'-x+1/2,-y+1/2,-z'
'-x+1/2,y+1/2,-z'
'x+1/2,-y+1/2,z'
loop_
_atom_site_label
_atom_site_fract_x
_atom_site_fract_y
_atom_site_fract_z
Pm1 0.000 0.166 0.000
Tl1 0.000 0.000 0.500
Tl2 0.000 0.331 0.500
Bi1 0.000 0.500 0.000
Te1 0.239 0.334 0.218
Te2 0.241 0.000 0.221
# Calculated density in Mg/m³: 7.10
# Formation energy from raw total energies in eV/atom: -0.8118

---

# 8
# AcPmPrHo2 | the Alexandria database | PBE-GGA | relaxed
data_AcPmPrHo2
_cell_length_a 6.607
_cell_length_b 17.523
_cell_length_c 6.484
_cell_angle_alpha 90.00
_cell_angle_beta 90.00
_cell_angle_gamma 90.00
_symmetry_space_group_name_H-M 'C m c m'
_symmetry_Int_Tables_number 63
_symmetry_space_group_name_Hall '-C 2c 2'
loop_
_atom_site_label
_atom_site_fract_x
_atom_site_fract_y
_atom_site_fract_z
Ac1 0.000 0.156 0.250
Pm1 0.000 0.281 0.750
Pr1 0.000 0.347 0.250
Ho1 0.243 0.500 0.000
# ΔE_f in eV/atom: 0.35
# Calculated density in Mg/m³: 7.46

---

# 9
# Tb2Dy6Co | the Alexandria database | PBE-GGA | relaxed
data_Tb2Dy6Co
_cell_length_a 9.143
_cell_length_b 17.077
_cell_length_c 3.596
_cell_angle_alpha 90.00
_cell_angle_beta 90.00
_cell_angle_gamma 90.00
_symmetry_space_group_name_H-M 'C m m m'
_symmetry_Int_Tables_number 65
_symmetry_space_group_name_Hall '-C 2 2'
loop_
_atom_site_label
_atom_site_fract_x
_atom_site_fract_y
_atom_site_fract_z
Tb1 0.000 0.170 0.000
Dy1 0.167 0.334 0.500
Dy2 0.205 0.500 0.000
Co1 0.000 0.500 0.500
# ΔE_f in eV/atom: 0.17
# Calculated density in Mg/m³: 8.00

---

# 10
# NbV2HPd | the Alexandria database | PBE-GGA | relaxed
data_NbV2HPd
_cell_length_a 4.170
_cell_length_b 4.170
_cell_length_c 3.612
_cell_angle_alpha 90.00
_cell_angle_beta 90.00
_cell_angle_gamma 90.00
_symmetry_space_group_name_H-M 'P 4/m m m'
_symmetry_Int_Tables_number 123
_symmetry_space_group_name_Hall '-P 4 2'
loop_
_atom_site_label
_atom_site_fract_x
_atom_site_fract_y
_atom_site_fract_z
Nb1 0.000 0.000 0.000
V1 0.000 0.500 0.500
H1 0.500 0.500 0.500
Pd1 0.500 0.500 0.000
# Calculated density in Mg/m³: 7.99
# Polymorph energy (0 for the lowest one) in kJ per mole of atoms: 4.7

---

# 11
# CoAs2Rh | the Alexandria database | PBE-GGA | relaxed
data_CoAs2Rh
_cell_length_a 7.619
_cell_length_b 2.998
_cell_length_c 5.201
_cell_angle_alpha 90.00
_cell_angle_beta 103.16
_cell_angle_gamma 90.00
_symmetry_space_group_name_H-M 'C 1 2/m 1'
_symmetry_Int_Tables_number 12
loop_
_symmetry_equiv_pos_as_xyz
'x,y,z'
'-x,-y,-z'
'-x,y,-z'
'x,-y,z'
'x+1/2,y+1/2,z'
'-x+1/2,-y+1/2,-z'
'-x+1/2,y+1/2,-z'
'x+1/2,-y+1/2,z'
loop_
_atom_site_label
_atom_site_fract_x
_atom_site_fract_y
_atom_site_fract_z
Co1 0.000 0.000 0.000
As1 0.245 0.500 0.233
Rh1 0.000 0.500 0.500
# ΔE_f in eV/atom: -0.07
# Calculated density in Mg/m³: 8.95
# Polymorph energy (0 for the lowest one) in kJ per mole of atoms: 25.0

---

# 12
# SrMgCdHg3 | the Alexandria database | PBE-GGA | relaxed
data_SrMgCdHg3
_cell_length_a 4.468
_cell_length_b 16.317
_cell_length_c 8.786
_cell_angle_alpha 90.00
_cell_angle_beta 90.00
_cell_angle_gamma 90.00
_symmetry_space_group_name_H-M 'C m c m'
_symmetry_Int_Tables_number 63
_symmetry_space_group_name_Hall '-C 2c 2'
loop_
_atom_site_label
_atom_site_fract_x
_atom_site_fract_y
_atom_site_fract_z
Sr1 0.000 0.204 0.250
Mg1 0.000 0.000 0.000
Cd1 0.000 0.485 0.750
Hg1 0.000 0.129 0.750
Hg2 0.000 0.365 0.007
# ΔE_f in eV/atom: -0.30
# Calculated density in Mg/m³: 8.57

---

# 13
# Te2IrAu | the Alexandria database | PBE-GGA | relaxed
data_Te2IrAu
_cell_length_a 3.0331
_cell_length_b 3.0331
_cell_length_c 35.3091
_cell_angle_alpha 90.00
_cell_angle_beta 90.00
_cell_angle_gamma 120.00
_symmetry_space_group_name_H-M 'R -3 m'
_symmetry_Int_Tables_number 166
_symmetry_space_group_name_Hall '-R 3 2"'
loop_
_atom_site_label
_atom_site_fract_x
_atom_site_fract_y
_atom_site_fract_z
Te1 0.0000 0.0000 0.0730
Ir1 0.0000 0.0000 0.0000
Au1 0.0000 0.0000 0.5000
# Calculated density in Mg/m³: 11.41
# Formation energy from raw total energies in eV/atom: 0.4555
# Polymorph energy (0 for the lowest one) in kJ per mole of atoms: 59.0

---

# 14
# KZrZn2 | the Alexandria database | PBE-GGA | relaxed
data_KZrZn2
_cell_length_a 7.876
_cell_length_b 7.876
_cell_length_c 7.141
_cell_angle_alpha 90.00
_cell_angle_beta 90.00
_cell_angle_gamma 90.00
_symmetry_space_group_name_H-M 'I -4 2 d'
_symmetry_Int_Tables_number 122
_symmetry_space_group_name_Hall 'I -4 2bw'
loop_
_atom_site_label
_atom_site_fract_x
_atom_site_fract_y
_atom_site_fract_z
K1 0.000 0.000 0.000
Zr1 0.000 0.000 0.500
Zn1 0.210 0.750 0.625
# ΔE_f in eV/atom: 0.63
# Calculated density in Mg/m³: 3.92
# Polymorph energy (0 for the lowest one) in kJ per mole of atoms: 54.2

---

# 15
# GaSeS | the Alexandria database | PBE-GGA | relaxed
data_GaSeS
_cell_length_a 3.836
_cell_length_b 6.124
_cell_length_c 7.214
_cell_angle_alpha 68.18
_cell_angle_beta 80.22
_cell_angle_gamma 76.92
_symmetry_space_group_name_H-M 'P 1'
_symmetry_Int_Tables_number 1
loop_
_symmetry_equiv_pos_as_xyz
'x,y,z'
loop_
_atom_site_label
_atom_site_fract_x
_atom_site_fract_y
_atom_site_fract_z
Ga1 0.000 0.000 0.000
Ga2 0.318 0.576 0.745
Se1 0.861 0.670 0.505
Se2 0.890 0.081 0.311
S1 0.156 0.606 0.046
S2 0.501 0.166 0.797
# Calculated density in Mg/m³: 3.93
# Formation energy from raw total energies in eV/atom: -0.4492
# Polymorph energy (0 for the lowest one) in kJ per mole of atoms: 0.0

---

# 16
# Na3TiBi | the Alexandria database | PBE-GGA | relaxed
data_Na3TiBi
_cell_length_a 5.896
_cell_length_b 5.896
_cell_length_c 5.896
_cell_angle_alpha 90.00
_cell_angle_beta 90.00
_cell_angle_gamma 90.00
_symmetry_space_group_name_H-M 'P m -3 m'
_symmetry_Int_Tables_number 221
_symmetry_space_group_name_Hall '-P 4 2 3'
loop_
_atom_site_label
_atom_site_fract_x
_atom_site_fract_y
_atom_site_fract_z
Na1 0.000 0.000 0.500
Ti1 0.500 0.500 0.500
Bi1 0.000 0.000 0.000
# ΔE_f in eV/atom: 0.82
# Calculated density in Mg/m³: 2.64
# Polymorph energy (0 for the lowest one) in kJ per mole of atoms: 0.0

---

# 17
# PmGdMgAu | the Alexandria database | PBE-GGA | relaxed
data_PmGdMgAu
_cell_length_a 7.462
_cell_length_b 7.462
_cell_length_c 7.462
_cell_angle_alpha 90.00
_cell_angle_beta 90.00
_cell_angle_gamma 90.00
_symmetry_space_group_name_H-M 'F -4 3 m'
_symmetry_Int_Tables_number 216
_symmetry_space_group_name_Hall 'F -4 2 3'
loop_
_atom_site_label
_atom_site_fract_x
_atom_site_fract_y
_atom_site_fract_z
Pm1 0.000 0.000 0.000
Gd1 0.000 0.000 0.500
Mg1 0.250 0.250 0.250
Au1 0.250 0.250 0.750
# ΔE_f in eV/atom: -0.39
# Calculated density in Mg/m³: 8.37

---

# 18
# Zr5Ti2Bi4 | the Alexandria database | PBE-GGA | relaxed
data_Zr5Ti2Bi4
_cell_length_a 19.337
_cell_length_b 3.868
_cell_length_c 7.376
_cell_angle_alpha 90.00
_cell_angle_beta 100.27
_cell_angle_gamma 90.00
_symmetry_space_group_name_H-M 'C 1 2/m 1'
_symmetry_Int_Tables_number 12
loop_
_symmetry_equiv_pos_as_xyz
'x,y,z'
'-x,-y,-z'
'-x,y,-z'
'x,-y,z'
'x+1/2,y+1/2,z'
'-x+1/2,-y+1/2,-z'
'-x+1/2,y+1/2,-z'
'x+1/2,-y+1/2,z'
loop_
_atom_site_label
_atom_site_fract_x
_atom_site_fract_y
_atom_site_fract_z
Zr1 0.000 0.000 0.000
Zr2 0.122 0.500 0.950
Zr3 0.183 0.500 0.481
Ti1 0.077 0.000 0.617
Bi1 0.034 0.500 0.307
Bi2 0.224 0.000 0.800
# ΔE_f in eV/atom: -0.06
# Calculated density in Mg/m³: 8.49

---

# 19
# Cu2Pt | the Alexandria database | PBE-GGA | relaxed
data_Cu2Pt
_cell_length_a 7.2652
_cell_length_b 7.2652
_cell_length_c 2.7020
_cell_angle_alpha 90.00
_cell_angle_beta 90.00
_cell_angle_gamma 120.00
_symmetry_space_group_name_H-M 'P -6 2 m'
_symmetry_Int_Tables_number 189
_symmetry_space_group_name_Hall 'P -6 -2'
loop_
_atom_site_label
_atom_site_fract_x
_atom_site_fract_y
_atom_site_fract_z
Cu1 0.0000 0.3035 0.0000
Cu2 0.0000 0.6344 0.5000
Pt1 0.0000 0.0000 0.5000
Pt2 0.3333 0.6667 0.0000
# ΔE_f in eV/atom: -0.06
# Calculated density in Mg/m³: 12.99
# Polymorph energy (0 for the lowest one) in kJ per mole of atoms: 8.0

---

# 20
# ZnCdO2 | the Alexandria database | PBE-GGA | relaxed
data_ZnCdO2
_cell_length_a 4.636
_cell_length_b 4.636
_cell_length_c 8.962
_cell_angle_alpha 90.00
_cell_angle_beta 90.00
_cell_angle_gamma 90.00
_symmetry_space_group_name_H-M 'I 41/a m d'
_symmetry_Int_Tables_number 141
loop_
_symmetry_equiv_pos_as_xyz
'x,y,z'
'-x,-y,-z'
'-y+1/4,x+3/4,z+1/4'
'y+1/4,-x+3/4,-z+1/4'
'-x+1/2,-y,z+1/2'
'x+1/2,y,-z+1/2'
'y+1/4,-x+1/4,z+3/4'
'-y+1/4,x+1/4,-z+3/4'
'x,-y,-z'
'-x,y,z'
'-y+1/4,-x+1/4,-z+3/4'
'y+1/4,x+1/4,z+3/4'
'-x+1/2,y,-z+1/2'
'x+1/2,-y,z+1/2'
'y+1/4,x+3/4,-z+1/4'
'-y+1/4,-x+3/4,z+1/4'
'x+1/2,y+1/2,z+1/2'
'-x+1/2,-y+1/2,-z+1/2'
'-y+3/4,x+1/4,z+3/4'
'y+3/4,-x+1/4,-z+3/4'
'-x,-y+1/2,z'
'x,y+1/2,-z'
'y+3/4,-x+3/4,z+1/4'
'-y+3/4,x+3/4,-z+1/4'
'x+1/2,-y+1/2,-z+1/2'
'-x+1/2,y+1/2,z+1/2'
'-y+3/4,-x+3/4,-z+1/4'
'y+3/4,x+3/4,z+1/4'
'-x,y+1/2,-z'
'x,-y+1/2,z'
'y+3/4,x+1/4,-z+3/4'
'-y+3/4,-x+1/4,z+3/4'
loop_
_atom_site_label
_atom_site_fract_x
_atom_site_fract_y
_atom_site_fract_z
Zn1 0.000 0.250 0.375
Cd1 0.000 0.250 0.875
O1 0.000 0.250 0.145
# Calculated density in Mg/m³: 7.24
# Formation energy from raw total energies in eV/atom: -1.1118